A relaxed NbZnCl3 crystal, computed with PBE-GGA.

Properties
E_tot	-3.887	eV/atom
symmetry	Pm-3m (221)

```
NbZnCl3
1.0
4.9633 0.0000 0.0000
0.0000 4.9633 0.0000
0.0000 0.0000 4.9633
Nb Zn Cl
1 1 3
Direct
0.0000 0.0000 0.0000
0.5000 0.5000 0.5000
0.0000 0.5000 0.0000
0.0000 0.0000 0.5000
0.5000 0.0000 0.0000
```

=====

A relaxed BaNd2Rh9 crystal, computed with PBE-GGA.

Properties
E_tot	-6.811	eV/atom
energy relative to the elements	-343	meV/atom
symmetry	R-3m (166)

```
BaNd2Rh9
1.0
5.1816 0.0000 1.5421
2.3613 4.6123 1.5421
0.0330 0.0201 9.3655
Ba Nd Rh
1 2 9
Direct
0.0000 0.0000 0.0000
0.8615 0.8615 0.4156
0.1385 0.1385 0.5844
0.6674 0.6674 0.9979
0.3326 0.3326 0.0021
0.5000 0.5000 0.5000
0.4173 0.4173 0.2491
0.9162 0.4173 0.2491
0.4173 0.9162 0.2491
0.5827 0.5827 0.7509
0.5827 0.0838 0.7509
0.0838 0.5827 0.7509
```

=====

Number 1: theoretical density 3595 kg/m³. Number 2: theoretical density 10045 kg/m³.